Cr5P4O16: relaxed, PBE with a Hubbard U.

Results
Raw total energy   -7.62 eV/atom
Crystal system   triclinic
Polymorph energy (0 for the lowest one)   0.000 eV/atom

Lattice parameters (Å, degrees): 5.191 8.094 8.345 113.67 91.78 98.97
Space group P-1 (No. 2)
Unique sites:
Cr: 0.000 0.000 0.000
Cr: 0.114 0.250 0.766
Cr: 0.361 0.585 0.340
P: 0.138 0.197 0.426
P: 0.360 0.694 0.975
O: 0.047 0.010 0.265
O: 0.086 0.746 0.451
O: 0.201 0.659 0.118
O: 0.253 0.825 0.915
O: 0.256 0.341 0.365
O: 0.333 0.501 0.812
O: 0.336 0.172 0.560
O: 0.343 0.241 0.958